No. 1
{
  "formula": "BeInSe",
  "functional": "GGA-PBE",
  "state": "optimized geometry",
  "magnetic_moment_mub_per_atom": 0.000,
  "dft_energy_ev_per_atom": -3.299,
  "raw_formation_energy_ev_per_atom": 0.018,
  "rho_g_cm3": 4.7,
  "lattice_angstrom": [[-4.0706, -3.3714, -4.3441], [-0.4098, -3.2498, -5.3205], [-1.6438, -3.1123, 1.4075]],
  "species": ["Be", "Se", "In"],
  "frac_coords": [[0.0296, 0.0296, 0.9704], [0.6175, 0.6175, 0.3825], [0.3529, 0.3529, 0.6471]]
}

---

No. 2
{
  "formula": "CdAg2Rh",
  "functional": "GGA-PBE",
  "state": "optimized geometry",
  "magnetic_moment_mub_per_atom": 0.000,
  "dft_energy_ev_per_atom": -3.434,
  "formation_energy_mev_per_atom": 59,
  "rho_g_cm3": 10.3,
  "lattice_angstrom": [[1.5149, 4.8737, -0.0018], [-1.5149, 4.8737, -0.0018], [0.0000, 1.0371, 4.7182]],
  "species": ["Ag", "Ag", "Cd", "Rh"],
  "frac_coords": [[0.7449, 0.7449, 0.2577], [0.2551, 0.2551, 0.7423], [0.5000, 0.5000, 0.0000], [0.0000, 0.0000, 0.5000]]
}

---

No. 3
{
  "formula": "Zr2CdI",
  "functional": "GGA-PBE",
  "state": "optimized geometry",
  "magnetic_moment_mub_per_atom": 0.000,
  "dft_energy_ev_per_atom": -4.574,
  "raw_formation_energy_ev_per_atom": 0.316,
  "rho_g_cm3": 6.7,
  "lattice_angstrom": [[-1.8929, -3.9916, -0.2106], [3.8766, -1.8900, 0.9801], [-1.3527, -2.3758, 10.7478]],
  "species": ["I", "I", "Zr", "Zr", "Zr", "Zr", "Cd", "Cd"],
  "frac_coords": [[0.0000, 0.0000, 0.0000], [0.7500, 0.2500, 0.5000], [0.3750, 0.3786, 0.7500], [0.8750, 0.8714, 0.7500], [0.6214, 0.1250, 0.2500], [0.1286, 0.6250, 0.2500], [0.5000, 0.5000, 0.0000], [0.2500, 0.7500, 0.5000]]
}

---

No. 4
{
  "formula": "Pm6Y2ErTm3",
  "functional": "GGA-PBE",
  "state": "optimized geometry",
  "magnetic_moment_mub_per_atom": 0.000,
  "dft_energy_ev_per_atom": -4.937,
  "formation_energy_mev_per_atom": 14,
  "rho_g_cm3": 7.4,
  "lattice_angstrom": [[6.2260, 0.0000, 0.0082], [-3.1115, 5.3928, 0.0082], [-1.0491, -1.8165, 11.5785]],
  "species": ["Pm", "Pm", "Pm", "Pm", "Pm", "Pm", "Tm", "Tm", "Tm", "Y", "Y", "Er"],
  "frac_coords": [[0.2484, 0.2484, 0.7481], [0.4165, 0.0841, 0.2519], [0.5835, 0.9159, 0.7481], [0.9159, 0.5835, 0.7481], [0.0841, 0.4165, 0.2519], [0.7516, 0.7516, 0.2519], [0.5000, 0.5000, 0.5000], [0.8335, 0.1665, 0.5000], [0.1665, 0.8335, 0.5000], [0.6667, 0.3333, 0.0000], [0.3333, 0.6667, 0.0000], [0.0000, 0.0000, 0.0000]]
}

---

No. 5
{
  "formula": "CrNi3",
  "functional": "GGA-PBE",
  "state": "optimized geometry",
  "magnetic_moment_mub_per_atom": 0.003,
  "dft_energy_ev_per_atom": -6.670,
  "formation_energy_mev_per_atom": 72,
  "rho_g_cm3": 8.5,
  "lattice_angstrom": [[4.4635, 0.0000, 0.0000], [0.0000, 4.4635, 0.0000], [0.0000, 0.0000, 4.4635]],
  "species": ["Ni", "Ni", "Ni", "Ni", "Ni", "Ni", "Cr", "Cr"],
  "frac_coords": [[0.2500, 0.5000, 0.0000], [0.5000, 0.0000, 0.7500], [0.0000, 0.7500, 0.5000], [0.5000, 0.0000, 0.2500], [0.7500, 0.5000, 0.0000], [0.0000, 0.2500, 0.5000], [0.0000, 0.0000, 0.0000], [0.5000, 0.5000, 0.5000]]
}

---

No. 6
{
  "formula": "KInTe4Pb2",
  "functional": "GGA-PBE",
  "state": "optimized geometry",
  "magnetic_moment_mub_per_atom": 0.000,
  "dft_energy_ev_per_atom": -3.396,
  "raw_formation_energy_ev_per_atom": -0.419,
  "rho_g_cm3": 6.4,
  "lattice_angstrom": [[9.2148, 0.0604, 0.0369], [0.0539, 9.2148, 0.0368], [-4.5548, -4.5580, 6.5183]],
  "species": ["In", "In", "Te", "Te", "Te", "Te", "Te", "Te", "Te", "Te", "Pb", "Pb", "Pb", "Pb", "K", "K"],
  "frac_coords": [[0.0000, 0.0000, 0.0000], [0.5000, 0.5000, 0.5000], [0.2494, 0.7736, 0.0115], [0.2550, 0.2450, 0.0099], [0.7450, 0.7550, 0.9901], [0.7506, 0.2264, 0.9885], [0.2550, 0.2450, 0.4901], [0.7264, 0.2506, 0.4885], [0.2736, 0.7494, 0.5115], [0.7450, 0.7550, 0.5099], [0.5000, 0.0000, 0.0000], [0.5000, 0.5000, 0.0000], [0.5000, 0.0000, 0.5000], [0.0000, 0.0000, 0.5000], [0.0000, 0.5000, 0.5000], [0.0000, 0.5000, 0.0000]]
}

---

No. 7
{
  "formula": "LaEr7Tl2",
  "functional": "GGA-PBE",
  "state": "optimized geometry",
  "magnetic_moment_mub_per_atom": 0.173,
  "dft_energy_ev_per_atom": -3.797,
  "formation_energy_mev_per_atom": 363,
  "rho_g_cm3": 7.5,
  "lattice_angstrom": [[-4.0135, -2.0599, -3.1904], [5.5606, -6.1410, -3.0303], [-4.7433, -1.8967, 7.1916]],
  "species": ["Tl", "Tl", "Er", "Er", "Er", "Er", "Er", "Er", "Er", "La"],
  "frac_coords": [[0.5000, 0.3039, 0.6961], [0.5000, 0.6961, 0.3039], [0.5000, 0.6963, 0.9422], [0.5000, 0.0578, 0.3037], [0.0000, 0.2361, 0.7639], [0.5000, 0.9422, 0.6963], [0.5000, 0.3037, 0.0578], [0.5000, 0.5000, 0.5000], [0.0000, 0.7639, 0.2361], [0.0000, 0.0000, 0.0000]]
}